one.
First-principles (GGA-PBE) data for a geometry-optimized CaZnP2O structure, as listed in Alexandria via LeMat-Bulk.

It has space group P4/mmm (No. 123), with a = 5.3691 Å, b = 5.3691 Å, c = 4.1377 Å, α = 90.00°, β = 90.00° and γ = 90.00°. The distinct sites, in fractional coordinates, are Ca at (0.0000, 0.0000, 0.0000), Zn at (0.5000, 0.5000, 0.5000), P at (0.0000, 0.5000, 0.0000) and O at (0.0000, 0.0000, 0.5000).

The calculation puts the density of states at the Fermi level at 0.99 states/eV per atom.

two.
First-principles (GGA-PBE) data for a geometry-optimized CaZnP2O structure, as listed in Alexandria via LeMat-Bulk.

It has space group P4/mmm (No. 123), with a = 5.0033 Å, b = 5.0033 Å, c = 3.7016 Å, α = 90.00°, β = 90.00° and γ = 90.00°. The distinct sites, in fractional coordinates, are Ca at (0.0000, 0.0000, 0.0000), Zn at (0.5000, 0.5000, 0.5000), P at (0.0000, 0.5000, 0.5000) and O at (0.5000, 0.5000, 0.0000).

The calculation puts the density of states at the Fermi level at 1.07 states/eV per atom.

Most stable structure, least stable structure: two, one.

one.
First-principles (GGA-PBE) data for a geometry-optimized CaZrPO2 structure, as listed in Alexandria via LeMat-Bulk.

It has space group P4/mmm (No. 123), with a = 4.1064 Å, b = 4.1064 Å, c = 5.2942 Å, α = 90.00°, β = 90.00° and γ = 90.00°. The distinct sites, in fractional coordinates, are Ca at (0.0000, 0.0000, 0.0000), Zr at (0.5000, 0.5000, 0.5000), P at (0.0000, 0.0000, 0.5000) and O at (0.0000, 0.5000, 0.0000).

The calculation puts the density of states at the Fermi level at 0.73 states/eV per atom.

two.
First-principles (GGA-PBE) data for a geometry-optimized CaZrPO2 structure, as listed in Alexandria via LeMat-Bulk.

It has space group P4/mmm (No. 123), with a = 4.1566 Å, b = 4.1566 Å, c = 5.2970 Å, α = 90.00°, β = 90.00° and γ = 90.00°. The distinct sites, in fractional coordinates, are Ca at (0.0000, 0.0000, 0.0000), Zr at (0.5000, 0.5000, 0.5000), P at (0.5000, 0.5000, 0.0000) and O at (0.0000, 0.5000, 0.5000).

The calculation puts the density of states at the Fermi level at 0.96 states/eV per atom.

Most stable structure, least stable structure: two, one.

one.
First-principles (GGA-PBE) data for a geometry-optimized Ca2PaO4 structure, as listed in Alexandria via LeMat-Bulk.

It has space group Pbam (No. 55), with a = 5.8775 Å, b = 10.0047 Å, c = 3.5717 Å, α = 90.00°, β = 90.00° and γ = 90.00°. The distinct sites, in fractional coordinates, are Ca at (0.0593, 0.1769, 0.0000), Pa at (0.0000, 0.5000, 0.5000), O at (0.1520, 0.7008, 0.5000) and O at (0.2298, 0.4526, 0.0000).

The calculation puts the density of states at the Fermi level at 0.19 states/eV per atom.

two.
First-principles (GGA-PBE) data for a geometry-optimized Ca2PaO4 structure, as listed in Alexandria via LeMat-Bulk.

It has space group I4_1/amd (No. 141, origin choice 2), with a = 7.2572 Å, b = 7.2572 Å, c = 7.7305 Å, α = 90.00°, β = 90.00° and γ = 90.00°. The distinct sites, in fractional coordinates, are Ca at (0.0000, 0.0000, 0.0000), Pa at (0.0000, 0.2500, 0.3750) and O at (0.0000, 0.0488, 0.6958).

The calculation puts the density of states at the Fermi level at 0.69 states/eV per atom.

Most stable structure, least stable structure: one, two.

one.
First-principles (GGA-PBE) data for a geometry-optimized Ca3PbO structure, as listed in Alexandria via LeMat-Bulk.

It has space group Pm-3m (No. 221), with a = 4.8784 Å, b = 4.8784 Å, c = 4.8784 Å, α = 90.00°, β = 90.00° and γ = 90.00°. The distinct sites, in fractional coordinates, are Ca at (0.0000, 0.0000, 0.5000), Pb at (0.5000, 0.5000, 0.5000) and O at (0.0000, 0.0000, 0.0000).

The calculation puts the density of states at the Fermi level at 0.00 states/eV per atom.

two.
First-principles (GGA-PBE) data for a geometry-optimized Ca3PbO structure, as listed in Alexandria via LeMat-Bulk.

It has space group Pm-3m (No. 221), with a = 5.8741 Å, b = 5.8741 Å, c = 5.8741 Å, α = 90.00°, β = 90.00° and γ = 90.00°. The distinct sites, in fractional coordinates, are Ca at (0.0000, 0.0000, 0.5000), Pb at (0.0000, 0.0000, 0.0000) and O at (0.5000, 0.5000, 0.5000).

The calculation puts the density of states at the Fermi level at 0.02 states/eV per atom.

Most stable structure, least stable structure: one, two.

one.
First-principles (GGA-PBE) data for a geometry-optimized CaPb3O structure, as listed in Alexandria via LeMat-Bulk.

It has space group Pm-3m (No. 221), with a = 5.1023 Å, b = 5.1023 Å, c = 5.1023 Å, α = 90.00°, β = 90.00° and γ = 90.00°. The distinct sites, in fractional coordinates, are Ca at (0.0000, 0.0000, 0.0000), Pb at (0.0000, 0.5000, 0.5000) and O at (0.5000, 0.5000, 0.5000).

The calculation puts the density of states at the Fermi level at 0.31 states/eV per atom.

two.
First-principles (GGA-PBE) data for a geometry-optimized CaPb3O structure, as listed in Alexandria via LeMat-Bulk.

It has space group Pm-3m (No. 221), with a = 5.9163 Å, b = 5.9163 Å, c = 5.9163 Å, α = 90.00°, β = 90.00° and γ = 90.00°. The distinct sites, in fractional coordinates, are Ca at (0.0000, 0.0000, 0.0000), Pb at (0.0000, 0.0000, 0.5000) and O at (0.5000, 0.5000, 0.5000).

The calculation puts the density of states at the Fermi level at 1.79 states/eV per atom.

Most stable structure, least stable structure: one, two.

one.
First-principles (GGA-PBE) data for a geometry-optimized CaPd3O structure, as listed in Alexandria via LeMat-Bulk.

It has space group Pm-3m (No. 221), with a = 4.9963 Å, b = 4.9963 Å, c = 4.9963 Å, α = 90.00°, β = 90.00° and γ = 90.00°. The distinct sites, in fractional coordinates, are Ca at (0.0000, 0.0000, 0.0000), Pd at (0.0000, 0.0000, 0.5000) and O at (0.5000, 0.5000, 0.5000).

The calculation puts the density of states at the Fermi level at 0.66 states/eV per atom.

two.
First-principles (GGA-PBE) data for a geometry-optimized CaPd3O structure, as listed in Alexandria via LeMat-Bulk.

It has space group Pm-3m (No. 221), with a = 4.3592 Å, b = 4.3592 Å, c = 4.3592 Å, α = 90.00°, β = 90.00° and γ = 90.00°. The distinct sites, in fractional coordinates, are Ca at (0.0000, 0.0000, 0.0000), Pd at (0.0000, 0.5000, 0.5000) and O at (0.5000, 0.5000, 0.5000).

The calculation puts the density of states at the Fermi level at 0.25 states/eV per atom.

Most stable structure, least stable structure: two, one.